FeH10N2Cl5O: optimized geometry, GGA+U.

a b c (Å): 13.885 10.079 7.142
angles (deg): 90.00 90.00 90.00
Space group Pnma (No. 62)
Asymmetric unit:
1 Fe 0.125 0.250 0.156
2 H 0.033 0.671 0.055
3 H 0.106 0.580 0.620
4 H 0.110 0.087 0.590
5 H 0.133 0.020 0.803
6 H 0.213 0.001 0.629
7 N 0.140 0.007 0.660
8 Cl 0.008 0.250 0.422
9 Cl 0.114 0.010 0.139
10 Cl 0.235 0.250 0.909
11 Cl 0.247 0.250 0.378
12 O 0.007 0.250 0.965

Output
As for the uncorrected energy: -4.45 eV/atom. Its magnetic moment is 19.88 Bohr magnetons per cell. As for the crystal system: orthorhombic. The value obtained for the calculated density is 1.91 g/cm3.